Computed, not measured: an optimized crystal structure of TlCoTe2 at the PBE level of DFT.

```
data_TlCoTe2
_chemical_formula_sum 'Tl4 Co4 Te8'
_cell_length_a 6.752
_cell_length_b 6.752
_cell_length_c 11.149
_cell_angle_alpha 90.00
_cell_angle_beta 90.00
_cell_angle_gamma 90.00
_symmetry_space_group_name_H-M 'I -4 2 d'
_symmetry_Int_Tables_number 122
_symmetry_space_group_name_Hall 'I -4 2bw'
loop_
_atom_site_label
_atom_site_type_symbol
_atom_site_fract_x
_atom_site_fract_y
_atom_site_fract_z
_atom_site_occupancy
Tl1 Tl 0.000 0.000 0.000 1
Co1 Co 0.000 0.000 0.500 1
Te1 Te 0.157 0.250 0.625 1
```

---

# TbYPt | Alexandria | PBE | relaxed
data_TbYPt
_chemical_formula_sum 'Tb4 Y4 Pt4'
_cell_length_a 7.206
_cell_length_b 4.783
_cell_length_c 8.833
_cell_angle_alpha 90.00
_cell_angle_beta 90.00
_cell_angle_gamma 90.00
_symmetry_space_group_name_H-M 'P n m a'
_symmetry_Int_Tables_number 62
_symmetry_space_group_name_Hall '-P 2ac 2n'
loop_
_atom_site_label
_atom_site_type_symbol
_atom_site_fract_x
_atom_site_fract_y
_atom_site_fract_z
_atom_site_occupancy
Tb1 Tb 0.144 0.250 0.081 1
Y1 Y 0.009 0.250 0.667 1
Pt1 Pt 0.243 0.250 0.406 1
# Energy above the lowest structure with this stoichiometry: 0.0000 eV per atom
# ΔE_f: -0.94 eV/atom

---

no.,total DFT energy (no corrections) (eV/atom)
1,-3.970
2,-6.650